10
Lattice="-6.3510 2.0404 1.5503 -2.2812 -2.9327 -5.4371 -4.9142 -4.3240 0.7259" Properties=species:S:1:pos:R:3 comment="Ba2SiNiPd6 (PBE, optimized geometry)" dos_ef_per_ev_fu=6.046 formation_energy_uncorrected_ev_per_atom=-0.446 vol_a3_per_cell=213.7 space_group="R-3 (148)" pbc="T T T"
Ba -7.5317 -0.7536 0.4159
Ba -6.0147 -4.4627 -3.5769
Si -4.3161 -0.4462 -1.9434
Ni 0.0000 0.0000 0.0000
Pd -4.8454 -2.6726 -1.1368
Pd -6.3365 -1.2859 -2.9981
Pd -3.7749 -2.1182 -3.6172
Pd -9.7714 -3.0980 0.4563
Pd -7.2099 -3.9304 -0.1629
Pd -8.7009 -2.5436 -2.0241


5
Lattice="5.7870 0.0000 0.0000 0.0000 5.7870 0.0000 0.0000 0.0000 5.2623" Properties=species:S:1:pos:R:3 comment="RbCuHgI2 (PBE, optimized geometry)" dos_ef_per_ev_fu=0.677 formation_energy_uncorrected_ev_per_atom=-0.558 vol_a3_per_cell=176.2 space_group="P4/mmm (123)" pbc="T T T"
I 0.0000 2.8935 0.0000
I 2.8935 0.0000 0.0000
Cu 0.0000 0.0000 0.0000
Hg 0.0000 0.0000 2.6312
Rb 2.8935 2.8935 2.6312